[1]
Entry from the Alexandria database: a relaxed structure of LiCdIr2 (PBE-GGA).

Properties
**E_form**: 260 meV per atom
**Raw total energy**: -4.878 eV/atom
**Crystal system**: tetragonal

a = 2.7281 Å, b = 2.7281 Å, c = 8.3109 Å
α = 90.00°, β = 90.00°, γ = 90.00°
Space group P4/mmm (No. 123)
Inequivalent atoms, fractional coordinates:
Li 0.0000 0.0000 0.0000 (multiplicity 1)
Cd 0.0000 0.0000 0.5000 (multiplicity 1)
Ir 0.5000 0.5000 0.2358 (multiplicity 2)

***

[2]
Entry from the Alexandria database: a relaxed structure of BaHfIn2F8 (PBE-GGA).

Properties
**ΔE_f (raw)**: -37.17 eV per formula unit
**Raw total energy**: -5.791 eV/atom
**Crystal system**: triclinic

a = 4.6446 Å, b = 6.5107 Å, c = 7.9273 Å
α = 90.07°, β = 90.06°, γ = 93.36°
Space group P-1 (No. 2)
Inequivalent atoms, fractional coordinates:
Ba 0.0000 0.0000 0.0000 (multiplicity 1)
Hf 0.0000 0.0000 0.5000 (multiplicity 1)
In 0.5003 0.4987 0.7488 (multiplicity 2)
F 0.1141 0.8175 0.3052 (multiplicity 2)
F 0.1143 0.8180 0.6947 (multiplicity 2)
F 0.3643 0.1775 0.5004 (multiplicity 2)
F 0.4778 0.2457 0.9992 (multiplicity 2)

***

[3]
Entry from the Alexandria database: a relaxed structure of PaCoSnPt (PBE-GGA).

Properties
**E_form**: -442 meV per atom
**Raw total energy**: -7.103 eV/atom
**Crystal system**: cubic

a = 6.7330 Å, b = 6.7330 Å, c = 6.7330 Å
α = 90.00°, β = 90.00°, γ = 90.00°
Space group F-43m (No. 216)
Inequivalent atoms, fractional coordinates:
Pa 0.0000 0.0000 0.0000 (multiplicity 4)
Co 0.2500 0.2500 0.7500 (multiplicity 4)
Sn 0.0000 0.0000 0.5000 (multiplicity 4)
Pt 0.2500 0.2500 0.2500 (multiplicity 4)

***

[4]
Entry from the Alexandria database: a relaxed structure of La2AuCl (PBE-GGA).

Properties
**ΔE_f (raw)**: -4.70 eV per formula unit
**Raw total energy**: -4.919 eV/atom
**Crystal system**: monoclinic

a = 7.6567 Å, b = 4.4103 Å, c = 7.2516 Å
α = 90.00°, β = 110.51°, γ = 90.00°
Space group C2/m (No. 12)
Inequivalent atoms, fractional coordinates:
La 0.2481 0.0000 0.2450 (multiplicity 4)
Au 0.0000 0.0000 0.5000 (multiplicity 2)
Cl 0.0000 0.5000 0.0000 (multiplicity 2)

***

[5]
Entry from the Alexandria database: a relaxed structure of TbHoZr (PBE-GGA).

Properties
**E_form**: 90 meV per atom
**Raw total energy**: -5.829 eV/atom
**Crystal system**: trigonal

a = 3.4088 Å, b = 3.4088 Å, c = 8.4106 Å
α = 90.00°, β = 90.00°, γ = 120.00°
Space group P3m1 (No. 156)
Inequivalent atoms, fractional coordinates:
Tb 0.0000 0.0000 0.0000 (multiplicity 1)
Ho 0.3333 0.6667 0.6316 (multiplicity 1)
Zr 0.6667 0.3333 0.3169 (multiplicity 1)

***

[6]
Entry from the Alexandria database: a relaxed structure of NdY5Pd2 (PBE-GGA).

Properties
**E_form**: -362 meV per atom
**Raw total energy**: -6.296 eV/atom
**Crystal system**: orthorhombic

a = 3.8841 Å, b = 12.9171 Å, c = 18.2005 Å
α = 90.00°, β = 90.00°, γ = 90.00°
Space group Cmcm (No. 63)
Inequivalent atoms, fractional coordinates:
Nd 0.0000 0.1495 0.2500 (multiplicity 4)
Y 0.0000 0.1149 0.7500 (multiplicity 4)
Y 0.0000 0.1549 0.0435 (multiplicity 8)
Y 0.0000 0.4464 0.1021 (multiplicity 8)
Pd 0.0000 0.2429 0.6266 (multiplicity 8)

***

[7]
Entry from the Alexandria database: a relaxed structure of KMn (PBE-GGA).

Properties
**E_form**: 1177 meV per atom
**Raw total energy**: -3.957 eV/atom
**Crystal system**: tetragonal

a = 4.5521 Å, b = 4.5521 Å, c = 3.3436 Å
α = 90.00°, β = 90.00°, γ = 90.00°
Space group P4/mmm (No. 123)
Inequivalent atoms, fractional coordinates:
K 0.0000 0.0000 0.0000 (multiplicity 1)
Mn 0.5000 0.5000 0.5000 (multiplicity 1)